Entry 1:
The following is a DFT calculation (PBE) of a relaxed CaAlRu2 crystal.

Lattice parameters (Å, degrees): 5.569 5.569 5.569 148.42 131.82 58.75
Fractional positions:
Ru: 0.977 0.977 0.000
Ru: 0.753 0.253 0.500
Ca: 0.244 0.744 0.500
Al: 0.526 0.526 0.000

Results
* size of the total moment: 0.000 μB/atom
* E_tot: -6.06 eV/atom
* energy of formation from the pure elements: 0.05 eV per formula unit
* mass density: 6.69 Mg/m³

Entry 2:
The following is a DFT calculation (PBE) of a relaxed Ca2Al3Ru crystal.

Lattice parameters (Å, degrees): 5.580 5.580 5.467 89.88 120.71 120.11
Fractional positions:
Ca: 0.744 0.373 0.117
Ca: 0.256 0.627 0.883
Al: 0.500 0.500 0.500
Al: 0.000 0.000 0.500
Al: 0.500 0.000 0.500
Ru: 0.000 0.000 0.000

Results
* size of the total moment: 0.000 μB/atom
* E_tot: -4.44 eV/atom
* energy of formation from the pure elements: -2.16 eV per formula unit
* mass density: 3.66 Mg/m³

Entry 3:
The following is a DFT calculation (PBE) of a relaxed CaAl2Ru crystal.

Lattice parameters (Å, degrees): 4.084 4.084 4.299 90.00 90.00 90.00
Fractional positions:
Ru: 0.000 0.500 0.500
Ca: 0.500 0.000 0.500
Al: 0.000 0.000 0.000
Al: 0.500 0.500 0.000

Results
* size of the total moment: 0.000 μB/atom
* E_tot: -4.69 eV/atom
* energy of formation from the pure elements: 0.01 eV per formula unit
* mass density: 4.52 Mg/m³

Entry 4:
The following is a DFT calculation (PBE) of a relaxed CaAlRu2 crystal.

Lattice parameters (Å, degrees): 4.089 2.910 5.975 79.98 90.00 90.00
Fractional positions:
Ru: 0.000 0.033 0.057
Ru: 0.000 0.467 0.443
Ca: 0.500 0.750 0.750
Al: 0.500 0.250 0.250

Results
* size of the total moment: 0.000 μB/atom
* E_tot: -6.00 eV/atom
* energy of formation from the pure elements: 0.29 eV per formula unit
* mass density: 6.39 Mg/m³